1.
{
  "formula": "Te4Pd2Au",
  "functional": "GGA-PBE",
  "state": "relaxed",
  "cell": [[-0.460, -2.673, -4.469], [-0.809, -4.395, 2.712], [-8.468, -2.118, -0.919]],
  "species": ["Te", "Au", "Te", "Pd", "Te", "Pd", "Te"],
  "frac_coords": [[0.000, 0.500, 0.000], [0.000, 0.000, 0.000], [0.256, 0.256, 0.488], [0.417, 0.417, 0.166], [0.500, 0.000, 0.000], [0.583, 0.583, 0.834], [0.744, 0.744, 0.512]],
  "density_g_cm3": 7.0,
  "space_group": "I4/mmm",
  "formation_energy_uncorrected_ev_per_atom": 0.176,
  "n_ef_per_ev_fu": 4.88
}

---

2.
{
  "formula": "Ho8InPt2",
  "functional": "GGA-PBE",
  "state": "relaxed",
  "cell": [[5.422, -0.082, -0.123], [-1.013, 7.941, -0.198], [-1.013, -3.241, 7.253]],
  "species": ["Pt", "Ho", "Ho", "Ho", "In", "Ho", "Ho", "Pt", "Ho", "Ho", "Ho"],
  "frac_coords": [[0.000, 0.694, 0.306], [0.500, 0.755, 0.245], [0.924, 0.922, 0.671], [0.076, 0.329, 0.078], [0.500, 0.000, 0.000], [0.924, 0.671, 0.922], [0.696, 0.391, 0.391], [0.000, 0.306, 0.694], [0.304, 0.609, 0.609], [0.500, 0.245, 0.755], [0.076, 0.078, 0.329]],
  "density_g_cm3": 9.9,
  "space_group": "C2/m",
  "e_form_kcal_per_mol_atoms": -12.01,
  "n_ef_per_ev_fu": 13.48
}

---

3.
{
  "formula": "Pu2TaH6",
  "functional": "GGA-PBE",
  "state": "relaxed",
  "cell": [[-3.126, -0.671, -0.308], [0.720, -4.656, 2.836], [0.219, 5.198, 3.145]],
  "species": ["H", "Ta", "Pu", "H", "H", "H", "H", "Pu", "H"],
  "frac_coords": [[0.500, 0.800, 0.000], [0.000, 0.000, 0.000], [0.652, 0.652, 0.305], [0.154, 0.356, 0.309], [0.500, 0.200, 0.000], [0.846, 0.046, 0.691], [0.154, 0.954, 0.309], [0.348, 0.348, 0.695], [0.846, 0.644, 0.691]],
  "density_g_cm3": 12.2,
  "total_energy_ev_per_cell": -63.30,
  "space_group": "Immm",
  "n_ef_per_ev_fu": 10.73
}

---

4.
{
  "formula": "MgRuAu2",
  "functional": "GGA-PBE",
  "state": "relaxed",
  "cell": [[-3.197, -2.104, -3.102], [-0.709, -3.565, -3.325], [-1.843, -3.597, 3.009]],
  "species": ["Mg", "Ru", "Au", "Au"],
  "frac_coords": [[0.750, 0.750, 0.750], [0.250, 0.250, 0.250], [0.996, 0.996, 0.004], [0.504, 0.504, 0.496]],
  "density_g_cm3": 12.8,
  "space_group": "C2/m",
  "e_form_kcal_per_mol_atoms": 1.33,
  "n_ef_per_ev_fu": 3.16
}